No. 1
Density functional theory data (PBE) for a geometry-optimized CuGe4Ir structure.

The structure belongs to space group I4/mcm (No. 140); the cell edges are 6.151, 6.151 and 10.408 Å and the angles 90.00°, 90.00° and 90.00°. Symmetry generates all atoms from Cu at (0.000, 0.000, 0.000), Ge at (0.149, 0.351, 0.132) and Ir at (0.000, 0.000, 0.250).

The calculation puts the density of states at the Fermi level at 1.08 states/eV/f.u. The formation energy comes out at -0.51 eV per formula unit. For the calculated volume, the calculation gives 16.4 A^3/atom. As for the spin magnetization: 0.00 μB per formula unit.

***

No. 2
Density functional theory data (PBE) for a geometry-optimized Sr2AcCeO6 structure.

The structure belongs to space group P2_1/c (No. 14); the cell edges are 6.155, 6.395 and 10.804 Å and the angles 90.00°, 124.70° and 90.00°. Symmetry generates all atoms from Sr at (0.229, 0.049, 0.244), Ac at (0.000, 0.000, 0.500), Ce at (0.500, 0.000, 0.000), O at (0.148, 0.183, 0.943), O at (0.240, 0.712, 0.925) and O at (0.387, 0.066, 0.763).

The calculation puts the density of states at the Fermi level at 7.53 states/eV/f.u. For the calculated volume, the calculation gives 17.5 A^3/atom. As for the spin magnetization: 1.07 μB per formula unit. The energy relative to the elements, uncorrected comes out at -2798 kJ/mol of formula units.